No. 1
{
  "formula": "Mn2CuPb",
  "functional": "PBE",
  "state": "relaxed",
  "ef_ev_per_atom": 0.3728,
  "dos_ef_per_ev_fu": 2.592,
  "crystal_system": "tetragonal",
  "cell": [[3.975, 0.000, 0.000], [0.000, 3.975, 0.000], [0.000, 0.000, 4.022]],
  "species": ["Mn", "Mn", "Cu", "Pb"],
  "frac_coords": [[0.000, 0.500, 0.000], [0.500, 0.000, 0.000], [0.000, 0.000, 0.500], [0.500, 0.500, 0.500]]
}



No. 2
{
  "formula": "Sr2TcSb",
  "functional": "PBE",
  "state": "relaxed",
  "e_form_raw_ev_per_atom": 0.25,
  "dos_ef_per_ev_fu": 3.304,
  "crystal_system": "tetragonal",
  "cell": [[-2.443, 2.443, 4.656], [2.443, -2.443, 4.656], [2.443, 2.443, -4.656]],
  "species": ["Sr", "Sr", "Tc", "Sb"],
  "frac_coords": [[0.250, 0.750, 0.500], [0.750, 0.250, 0.500], [0.000, 0.000, 0.000], [0.500, 0.500, 0.000]]
}



No. 3
{
  "formula": "HoTiAlIr2",
  "functional": "PBE",
  "state": "relaxed",
  "ef_ev_per_atom": -0.8920,
  "dos_ef_per_ev_fu": 3.021,
  "crystal_system": "tetragonal",
  "cell": [[-2.005, 2.005, 5.763], [2.005, -2.005, 5.763], [2.005, 2.005, -5.763]],
  "species": ["Ho", "Ti", "Al", "Ir", "Ir"],
  "frac_coords": [[0.000, 0.000, 0.000], [0.250, 0.750, 0.500], [0.750, 0.250, 0.500], [0.386, 0.386, 0.000], [0.614, 0.614, 0.000]]
}



No. 4
{
  "formula": "Sm3Mg2Rh4",
  "functional": "PBE",
  "state": "relaxed",
  "ef_ev_per_atom": -0.5982,
  "dos_ef_per_ev_fu": 5.279,
  "crystal_system": "monoclinic",
  "cell": [[5.080, -2.142, 0.000], [5.080, 2.142, 0.000], [-0.912, 0.000, 8.750]],
  "species": ["Sm", "Sm", "Sm", "Mg", "Mg", "Rh", "Rh", "Rh", "Rh"],
  "frac_coords": [[0.000, 0.000, 0.000], [0.376, 0.376, 0.617], [0.624, 0.624, 0.383], [0.320, 0.320, 0.214], [0.680, 0.680, 0.786], [0.091, 0.091, 0.627], [0.297, 0.297, 0.910], [0.703, 0.703, 0.090], [0.909, 0.909, 0.373]]
}



No. 5
{
  "formula": "CuRu4Rh",
  "functional": "PBE",
  "state": "relaxed",
  "ef_ev_per_atom": 0.6589,
  "dos_ef_per_ev_fu": 8.949,
  "crystal_system": "cubic",
  "cell": [[0.000, 3.567, 3.567], [3.567, 0.000, 3.567], [3.567, 3.567, 0.000]],
  "species": ["Cu", "Ru", "Ru", "Ru", "Ru", "Rh"],
  "frac_coords": [[0.000, 0.000, 0.000], [0.375, 0.375, 0.375], [0.375, 0.375, 0.875], [0.375, 0.875, 0.375], [0.875, 0.375, 0.375], [0.750, 0.750, 0.750]]
}



No. 6
{
  "formula": "NbSnMoOs2",
  "functional": "PBE",
  "state": "relaxed",
  "ef_ev_per_atom": 2.4794,
  "dos_ef_per_ev_fu": 3.732,
  "crystal_system": "tetragonal",
  "cell": [[4.711, 0.000, 0.000], [0.000, 4.711, 0.000], [0.000, 0.000, 4.911]],
  "species": ["Nb", "Sn", "Mo", "Os", "Os"],
  "frac_coords": [[0.000, 0.000, 0.000], [0.000, 0.000, 0.500], [0.500, 0.500, 0.000], [0.000, 0.500, 0.500], [0.500, 0.000, 0.500]]
}



No. 7
{
  "formula": "LiTm2HgAu4",
  "functional": "PBE",
  "state": "relaxed",
  "ef_ev_per_atom": -0.6759,
  "dos_ef_per_ev_fu": 4.989,
  "crystal_system": "trigonal",
  "cell": [[2.435, 1.406, 7.899], [-2.435, 1.406, 7.899], [0.000, -2.811, 7.899]],
  "species": ["Li", "Tm", "Tm", "Hg", "Au", "Au", "Au", "Au"],
  "frac_coords": [[0.000, 0.000, 0.000], [0.246, 0.246, 0.246], [0.754, 0.754, 0.754], [0.500, 0.500, 0.500], [0.117, 0.117, 0.117], [0.369, 0.369, 0.369], [0.631, 0.631, 0.631], [0.883, 0.883, 0.883]]
}



No. 8
{
  "formula": "CoHSe2N",
  "functional": "PBE",
  "state": "relaxed",
  "dos_ef_per_ev_fu": 5.679,
  "e_above_lowest_polymorph_kj_per_mol_fu": 68.4,
  "crystal_system": "tetragonal",
  "cell": [[4.730, 0.000, 0.000], [0.000, 4.730, 0.000], [0.000, 0.000, 2.648]],
  "species": ["Co", "H", "Se", "Se", "N"],
  "frac_coords": [[0.000, 0.000, 0.000], [0.500, 0.500, 0.500], [0.000, 0.500, 0.500], [0.500, 0.000, 0.500], [0.500, 0.500, 0.000]]
}



No. 9
{
  "formula": "Na2Er2ThTe6",
  "functional": "PBE",
  "state": "relaxed",
  "e_form_raw_ev_per_atom": -1.27,
  "crystal_system": "monoclinic",
  "cell": [[3.821, -6.624, 0.000], [3.821, 6.624, 0.000], [-2.540, 0.000, 7.644]],
  "species": ["Na", "Na", "Er", "Er", "Th", "Te", "Te", "Te", "Te", "Te", "Te"],
  "frac_coords": [[0.165, 0.835, 0.000], [0.835, 0.165, 0.000], [0.333, 0.667, 0.500], [0.667, 0.333, 0.500], [0.000, 0.000, 0.500], [0.077, 0.416, 0.731], [0.264, 0.264, 0.269], [0.416, 0.077, 0.731], [0.584, 0.923, 0.269], [0.736, 0.736, 0.731], [0.923, 0.584, 0.269]]
}



No. 10
{
  "formula": "Ge2SbMo2",
  "functional": "PBE",
  "state": "relaxed",
  "e_form_raw_ev_per_atom": 0.08,
  "dos_ef_per_ev_fu": 2.555,
  "e_above_lowest_polymorph_kj_per_mol_fu": 0.0,
  "crystal_system": "tetragonal",
  "cell": [[-1.793, 1.793, 6.829], [1.793, -1.793, 6.829], [1.793, 1.793, -6.829]],
  "species": ["Ge", "Ge", "Sb", "Mo", "Mo"],
  "frac_coords": [[0.250, 0.750, 0.500], [0.750, 0.250, 0.500], [0.000, 0.000, 0.000], [0.392, 0.392, 0.000], [0.608, 0.608, 0.000]]
}



No. 11
{
  "formula": "PrZrCdHg",
  "functional": "PBE",
  "state": "relaxed",
  "ef_ev_per_atom": -0.1404,
  "dos_ef_per_ev_fu": 5.544,
  "crystal_system": "cubic",
  "cell": [[0.000, 3.703, 3.703], [3.703, 0.000, 3.703], [3.703, 3.703, 0.000]],
  "species": ["Pr", "Zr", "Cd", "Hg"],
  "frac_coords": [[0.000, 0.000, 0.000], [0.500, 0.500, 0.500], [0.750, 0.750, 0.750], [0.250, 0.250, 0.250]]
}



No. 12
{
  "formula": "SrTe5",
  "functional": "PBE",
  "state": "relaxed",
  "e_form_raw_ev_per_atom": -0.39,
  "dos_ef_per_ev_fu": 4.230,
  "e_above_lowest_polymorph_kj_per_mol_fu": 29.7,
  "crystal_system": "orthorhombic",
  "cell": [[4.234, 0.000, 0.000], [0.000, 2.159, 11.736], [0.000, -2.159, 11.736]],
  "species": ["Sr", "Te", "Te", "Te", "Te", "Te"],
  "frac_coords": [[0.000, 0.000, 0.000], [0.000, 0.383, 0.383], [0.000, 0.675, 0.675], [0.500, 0.211, 0.211], [0.500, 0.550, 0.550], [0.500, 0.861, 0.861]]
}



No. 13
{
  "formula": "TaMoS4",
  "functional": "PBE",
  "state": "relaxed",
  "e_form_raw_ev_per_atom": -0.95,
  "dos_ef_per_ev_fu": 3.059,
  "e_above_lowest_polymorph_kj_per_mol_fu": 0.4,
  "crystal_system": "monoclinic",
  "cell": [[5.685, 0.000, 0.000], [0.000, 3.278, 0.000], [-1.945, 0.000, 6.630]],
  "species": ["Ta", "Mo", "S", "S", "S", "S"],
  "frac_coords": [[0.000, 0.000, 0.000], [0.504, 0.500, 0.000], [0.261, 0.000, 0.768], [0.420, 0.000, 0.233], [0.752, 0.500, 0.764], [0.914, 0.500, 0.236]]
}



no.,DFT total energy (eV per atom)
1,-6.16
2,-4.21
3,-7.68
4,-5.79
5,-7.43
6,-6.99
7,-3.71
8,-4.11
9,-4.72
10,-6.92
11,-3.78
12,-3.29
13,-7.48